6
Lattice="0.000 3.906 3.906 3.906 0.000 3.906 3.906 3.906 0.000" Properties=species:S:1:pos:R:3 comment="PBEsol BaTa4Re, relaxed" dft_energy_ev_per_atom=-10.0198 m_tot_mub_per_cell=0.0 volume_a3_per_atom=19.9 ef_ev_per_atom=0.928 sg="F-43m (216)" pbc="T T T"
Ba 0.000 0.000 0.000
Ta 4.879 2.933 2.933
Ta 2.933 4.879 2.933
Ta 2.933 2.933 4.879
Ta 4.879 4.879 4.879
Re 1.953 1.953 1.953

---

5
Lattice="5.317 0.000 0.000 0.000 5.317 0.000 0.000 0.000 5.562" Properties=species:S:1:pos:R:3 comment="PBEsol Zr2GaSnBi, relaxed" dft_energy_ev_per_atom=-5.0516 m_tot_mub_per_cell=0.0 volume_a3_per_atom=31.4 ef_ev_per_atom=0.961 sg="P4/mmm (123)" pbc="T T T"
Zr 0.000 2.658 0.000
Zr 2.658 0.000 0.000
Ga 0.000 0.000 2.781
Sn 2.658 2.658 0.000
Bi 2.658 2.658 2.781

---

12
Lattice="2.678 0.000 0.000 -1.339 2.319 0.000 0.000 0.000 25.561" Properties=species:S:1:pos:R:3 comment="PBEsol NiPtRh2, relaxed" dft_energy_ev_per_atom=-7.3042 m_tot_mub_per_cell=1.7 volume_a3_per_atom=13.2 ef_ev_per_atom=0.045 sg="R-3m (166)" pbc="T T T"
Ni 0.000 0.000 0.000
Ni 0.000 1.546 17.041
Ni 1.339 0.773 8.520
Pt 0.000 0.000 12.780
Pt 0.000 1.546 4.260
Pt 1.339 0.773 21.301
Rh 0.000 0.000 6.526
Rh 0.000 0.000 19.035
Rh 0.000 1.546 10.515
Rh 0.000 1.546 23.566
Rh 1.339 0.773 1.995
Rh 1.339 0.773 15.046

---

5
Lattice="5.121 0.000 0.000 0.000 5.121 0.000 0.000 0.000 5.121" Properties=species:S:1:pos:R:3 comment="PBEsol K3OsF, relaxed" dft_energy_ev_per_atom=-3.4209 m_tot_mub_per_cell=2.0 volume_a3_per_atom=26.9 sg="Pm-3m (221)" formation_energy_uncorrected_mev_per_atom=88 pbc="T T T"
K 0.000 0.000 2.561
K 0.000 2.561 0.000
K 2.561 0.000 0.000
Os 2.561 2.561 2.561
F 0.000 0.000 0.000

---

16
Lattice="7.257 0.000 0.000 0.000 7.257 0.000 0.000 0.000 7.257" Properties=species:S:1:pos:R:3 comment="PBEsol La2ZrAs, relaxed" dft_energy_ev_per_atom=-6.4083 m_tot_mub_per_cell=0.0 volume_a3_per_atom=23.9 ef_ev_per_atom=-0.186 sg="F-43m (216)" pbc="T T T"
La 0.000 0.000 0.000
La 0.000 3.628 3.628
La 1.814 1.814 1.814
La 1.814 5.443 5.443
La 3.628 0.000 3.628
La 3.628 3.628 0.000
La 5.443 1.814 5.443
La 5.443 5.443 1.814
Zr 1.814 1.814 5.443
Zr 1.814 5.443 1.814
Zr 5.443 1.814 1.814
Zr 5.443 5.443 5.443
As 0.000 0.000 3.628
As 0.000 3.628 0.000
As 3.628 0.000 0.000
As 3.628 3.628 3.628

---

16
Lattice="6.610 0.000 0.000 0.000 6.610 0.000 0.000 0.000 6.610" Properties=species:S:1:pos:R:3 comment="PBEsol Sc2TlIr, relaxed" dft_energy_ev_per_atom=-6.8733 m_tot_mub_per_cell=0.0 volume_a3_per_atom=18.0 ef_ev_per_atom=-0.457 sg="F-43m (216)" pbc="T T T"
Sc 0.000 0.000 0.000
Sc 0.000 3.305 3.305
Sc 1.652 1.652 1.652
Sc 1.652 4.957 4.957
Sc 3.305 0.000 3.305
Sc 3.305 3.305 0.000
Sc 4.957 1.652 4.957
Sc 4.957 4.957 1.652
Tl 0.000 0.000 3.305
Tl 0.000 3.305 0.000
Tl 3.305 0.000 0.000
Tl 3.305 3.305 3.305
Ir 1.652 1.652 4.957
Ir 1.652 4.957 1.652
Ir 4.957 1.652 1.652
Ir 4.957 4.957 4.957

---

40
Lattice="-6.074 6.074 4.020 6.074 -6.074 4.020 6.074 6.074 -4.020" Properties=species:S:1:pos:R:3 comment="PBEsol ZrGa2Co, relaxed" dft_energy_ev_per_atom=-6.4812 m_tot_mub_per_cell=0.0 volume_a3_per_atom=14.8 ef_ev_per_atom=-0.605 sg="I4mm (107)" pbc="T T T"
Zr 0.000 0.000 0.000
Zr 2.445 2.445 -0.964
Zr 3.629 -3.629 3.057
Zr 6.074 2.656 -0.870
Zr 2.656 6.074 -0.870
Zr 3.418 0.000 3.150
Zr 0.000 0.000 3.721
Zr 0.000 3.418 3.150
Zr -3.629 3.629 3.057
Zr 3.629 3.629 3.057
Ga 4.466 4.466 -2.215
Ga 1.608 -1.608 1.805
Ga 6.074 -1.414 2.964
Ga 4.279 1.702 1.040
Ga 7.869 1.702 1.040
Ga -1.608 1.608 1.805
Ga 1.608 1.608 1.805
Ga 1.702 4.279 1.040
Ga 4.372 -1.795 5.060
Ga 6.074 1.414 2.964
Ga 6.074 4.094 1.756
Ga 4.094 6.074 1.756
Ga 1.981 0.000 5.776
Ga 1.702 7.869 1.040
Ga 4.372 1.795 5.060
Ga -1.414 6.074 2.964
Ga 1.414 6.074 2.964
Ga 0.000 1.981 5.776
Ga -1.795 4.372 5.060
Ga 1.795 4.372 5.060
Co 2.631 0.000 0.246
Co 9.517 0.000 0.246
Co 6.074 0.000 0.970
Co 0.000 2.631 0.246
Co 4.103 4.103 0.288
Co 1.971 -1.971 4.308
Co 0.000 6.074 0.970
Co -1.971 1.971 4.308
Co 1.971 1.971 4.308
Co 0.000 9.517 0.246

---

8
Lattice="2.907 0.000 0.000 0.000 4.276 0.000 0.000 0.000 9.598" Properties=species:S:1:pos:R:3 comment="PBEsol Li2TaFe, relaxed" dft_energy_ev_per_atom=-5.9292 m_tot_mub_per_cell=4.6 volume_a3_per_atom=14.9 ef_ev_per_atom=0.433 sg="Cmmm (65)" e_above_lowest_polymorph_mev_per_atom=176 pbc="T T T"
Li 0.000 0.000 2.219
Li 0.000 0.000 7.378
Li 1.453 2.138 2.219
Li 1.453 2.138 7.378
Ta 0.000 2.138 4.799
Ta 1.453 0.000 4.799
Fe 0.000 2.138 0.000
Fe 1.453 0.000 0.000

---

36
Lattice="11.583 0.000 0.000 0.000 3.599 0.000 0.000 0.000 10.168" Properties=species:S:1:pos:R:3 comment="PBEsol TbCo5P3, relaxed" dft_energy_ev_per_atom=-7.7216 m_tot_mub_per_cell=3.6 volume_a3_per_atom=11.8 ef_ev_per_atom=-0.936 sg="Pnma (62)" pbc="T T T"
Tb 2.349 0.900 0.851
Tb 3.443 2.699 5.935
Tb 8.141 0.900 4.233
Tb 9.235 2.699 9.317
Co 0.100 2.699 7.280
Co 0.137 2.699 0.947
Co 0.792 2.699 4.768
Co 2.044 0.900 7.936
Co 2.293 0.900 3.898
Co 3.499 2.699 8.982
Co 3.748 2.699 2.851
Co 4.999 0.900 9.852
Co 5.655 0.900 6.031
Co 5.692 0.900 2.196
Co 5.892 2.699 7.972
Co 5.928 2.699 4.137
Co 6.584 2.699 0.316
Co 7.836 0.900 7.317
Co 8.084 0.900 1.187
Co 9.291 2.699 6.271
Co 9.540 2.699 2.233
Co 10.791 0.900 5.401
Co 11.447 0.900 9.221
Co 11.484 0.900 2.888
P 1.260 2.699 9.129
P 1.289 0.900 5.931
P 1.495 2.699 2.765
P 4.297 0.900 7.849
P 4.503 2.699 0.846
P 4.532 0.900 4.045
P 7.052 2.699 6.123
P 7.080 0.900 9.322
P 7.286 2.699 2.320
P 10.089 0.900 7.404
P 10.295 2.699 4.238
P 10.324 0.900 1.039

---

5
Lattice="4.094 0.000 0.000 0.000 4.094 0.000 0.000 0.000 4.094" Properties=species:S:1:pos:R:3 comment="PBEsol CoReF3, relaxed" dft_energy_ev_per_atom=-5.3635 m_tot_mub_per_cell=3.7 volume_a3_per_atom=13.7 sg="Pm-3m (221)" formation_energy_uncorrected_mev_per_atom=7 pbc="T T T"
Co 0.000 0.000 0.000
Re 2.047 2.047 2.047
F 0.000 2.047 2.047
F 2.047 0.000 2.047
F 2.047 2.047 0.000

---

29
Lattice="-4.471 4.471 4.471 4.471 -4.471 4.471 4.471 4.471 -4.471" Properties=species:S:1:pos:R:3 comment="PBEsol Cu24Au5, relaxed" dft_energy_ev_per_atom=-4.2357 m_tot_mub_per_cell=0.0 volume_a3_per_atom=12.3 ef_ev_per_atom=0.028 sg="I-43m (217)" pbc="T T T"
Cu 4.109 1.224 -1.224
Cu 4.109 -1.224 1.224
Cu 6.391 0.837 -0.837
Cu 6.391 -0.837 0.837
Cu 2.551 0.837 0.837
Cu 3.633 3.633 -1.920
Cu 3.633 -1.920 3.633
Cu 4.833 1.224 1.224
Cu 1.224 4.109 -1.224
Cu 1.224 -1.224 4.109
Cu 0.837 2.551 0.837
Cu 0.837 0.837 2.551
Cu 3.247 3.247 0.362
Cu 3.247 0.362 3.247
Cu -1.224 4.109 1.224
Cu -1.224 1.224 4.109
Cu 0.837 6.391 -0.837
Cu 0.837 -0.837 6.391
Cu 1.224 4.833 1.224
Cu 1.224 1.224 4.833
Cu 0.362 3.247 3.247
Cu -0.837 6.391 0.837
Cu -0.837 0.837 6.391
Cu -1.920 3.633 3.633
Au 0.000 0.000 0.000
Au 1.647 1.647 -1.647
Au 1.647 -1.647 1.647
Au -1.647 1.647 1.647
Au 2.824 2.824 2.824

---

5
Lattice="5.121 0.000 0.000 0.000 5.121 0.000 0.000 0.000 4.111" Properties=species:S:1:pos:R:3 comment="PBEsol CoAg2SnB, relaxed" dft_energy_ev_per_atom=-3.4258 m_tot_mub_per_cell=2.0 volume_a3_per_atom=21.6 ef_ev_per_atom=1.701 sg="P4/mmm (123)" pbc="T T T"
Co 0.000 0.000 0.000
Ag 0.000 2.560 2.055
Ag 2.560 0.000 2.055
Sn 2.560 2.560 2.055
B 2.560 2.560 0.000

---

4
Lattice="2.738 0.000 0.000 0.000 2.738 0.000 0.000 0.000 7.713" Properties=species:S:1:pos:R:3 comment="PBEsol CdFeSi2, relaxed" dft_energy_ev_per_atom=-5.4212 m_tot_mub_per_cell=0.0 volume_a3_per_atom=14.5 sg="P4/mmm (123)" formation_energy_uncorrected_mev_per_atom=-8 pbc="T T T"
Cd 0.000 0.000 0.000
Fe 0.000 0.000 3.856
Si 1.369 1.369 2.464
Si 1.369 1.369 5.249

---

5
Lattice="4.706 0.000 0.000 0.000 4.706 0.000 0.000 0.000 5.279" Properties=species:S:1:pos:R:3 comment="PBEsol YGa2ReS, relaxed" dft_energy_ev_per_atom=-6.0867 m_tot_mub_per_cell=0.0 volume_a3_per_atom=23.4 sg="P4/mmm (123)" formation_energy_uncorrected_mev_per_atom=157 pbc="T T T"
Y 0.000 0.000 0.000
Ga 0.000 2.353 2.640
Ga 2.353 0.000 2.640
Re 0.000 0.000 2.640
S 2.353 2.353 0.000

---

8
Lattice="9.544 0.000 0.000 0.000 3.020 0.000 -1.052 0.000 5.162" Properties=species:S:1:pos:R:3 comment="PBEsol Mg2AlZn, relaxed" dft_energy_ev_per_atom=-2.2386 m_tot_mub_per_cell=0.0 volume_a3_per_atom=18.6 ef_ev_per_atom=0.038 sg="C2/m (12)" pbc="T T T"
Mg 2.094 0.000 1.272
Mg 1.626 1.510 3.890
Mg 6.866 1.510 1.272
Mg 6.398 0.000 3.890
Al -0.526 0.000 2.581
Al 4.246 1.510 2.581
Zn 0.000 1.510 0.000
Zn 4.772 0.000 0.000

---

5
Lattice="4.824 0.000 0.000 0.000 4.824 0.000 0.000 0.000 5.093" Properties=species:S:1:pos:R:3 comment="PBEsol Ti2CoSbAu, relaxed" dft_energy_ev_per_atom=-5.2729 m_tot_mub_per_cell=1.3 volume_a3_per_atom=23.7 sg="P4/mmm (123)" formation_energy_uncorrected_mev_per_atom=1300 pbc="T T T"
Ti 0.000 2.412 0.000
Ti 2.412 0.000 0.000
Co 0.000 0.000 2.546
Sb 2.412 2.412 2.546
Au 2.412 2.412 0.000

---

5
Lattice="4.099 0.000 0.000 0.000 4.099 0.000 0.000 0.000 4.305" Properties=species:S:1:pos:R:3 comment="PBEsol Ta2GeIrO, relaxed" dft_energy_ev_per_atom=-9.3390 m_tot_mub_per_cell=0.0 volume_a3_per_atom=14.5 sg="P4/mmm (123)" formation_energy_uncorrected_mev_per_atom=-316 pbc="T T T"
Ta 0.000 2.049 0.000
Ta 2.049 0.000 0.000
Ge 0.000 0.000 2.152
Ir 2.049 2.049 2.152
O 2.049 2.049 0.000

---

16
Lattice="5.530 0.000 0.000 0.000 5.530 0.000 0.000 0.000 14.889" Properties=species:S:1:pos:R:3 comment="PBEsol CaSe2S, relaxed" dft_energy_ev_per_atom=-4.0643 m_tot_mub_per_cell=0.0 volume_a3_per_atom=28.5 sg="I-42d (122)" formation_energy_uncorrected_mev_per_atom=-510 pbc="T T T"
Ca 0.000 0.000 0.000
Ca 0.000 2.765 3.722
Ca 2.765 0.000 11.167
Ca 2.765 2.765 7.444
Se 0.976 1.382 9.306
Se 1.382 3.741 13.028
Se 1.382 4.553 5.583
Se 1.788 1.382 1.861
Se 3.741 4.147 1.861
Se 4.147 0.976 5.583
Se 4.147 1.788 13.028
Se 4.553 4.147 9.306
S 0.000 0.000 7.444
S 0.000 2.765 11.167
S 2.765 0.000 3.722
S 2.765 2.765 0.000

---

5
Lattice="4.831 0.000 0.000 0.000 4.831 0.000 0.000 0.000 4.585" Properties=species:S:1:pos:R:3 comment="PBEsol AlTlSCl2, relaxed" dft_energy_ev_per_atom=-3.9555 m_tot_mub_per_cell=0.0 volume_a3_per_atom=21.4 sg="P4/mmm (123)" formation_energy_uncorrected_mev_per_atom=-931 pbc="T T T"
Al 0.000 0.000 0.000
Tl 2.416 2.416 2.292
S 0.000 0.000 2.292
Cl 0.000 2.416 0.000
Cl 2.416 0.000 0.000

---

16
Lattice="7.368 0.000 0.000 0.000 7.368 0.000 0.000 0.000 7.368" Properties=species:S:1:pos:R:3 comment="PBEsol Tl2ZnCl, relaxed" dft_energy_ev_per_atom=-2.3420 m_tot_mub_per_cell=0.0 volume_a3_per_atom=25.0 sg="Fm-3m (225)" e_above_lowest_polymorph_mev_per_atom=59 formation_energy_uncorrected_mev_per_atom=-129 pbc="T T T"
Tl 1.842 1.842 1.842
Tl 1.842 1.842 5.526
Tl 1.842 5.526 1.842
Tl 1.842 5.526 5.526
Tl 5.526 1.842 1.842
Tl 5.526 1.842 5.526
Tl 5.526 5.526 1.842
Tl 5.526 5.526 5.526
Zn 0.000 0.000 0.000
Zn 0.000 3.684 3.684
Zn 3.684 0.000 3.684
Zn 3.684 3.684 0.000
Cl 0.000 0.000 3.684
Cl 0.000 3.684 0.000
Cl 3.684 0.000 0.000
Cl 3.684 3.684 3.684

---

4
Lattice="3.181 0.000 0.000 0.000 3.295 0.000 0.000 0.000 7.693" Properties=species:S:1:pos:R:3 comment="PBEsol Sc2AlCl, relaxed" dft_energy_ev_per_atom=-5.6561 m_tot_mub_per_cell=0.0 volume_a3_per_atom=20.2 sg="Pmmm (47)" e_above_lowest_polymorph_mev_per_atom=0 formation_energy_uncorrected_mev_per_atom=-829 pbc="T T T"
Sc 0.000 0.000 1.764
Sc 0.000 0.000 5.929
Al 1.591 1.648 0.000
Cl 1.591 0.000 3.846

---

8
Lattice="2.739 0.000 0.000 0.000 4.775 0.000 0.000 0.000 9.543" Properties=species:S:1:pos:R:3 comment="PBEsol Pt3Au, relaxed" dft_energy_ev_per_atom=-6.1259 m_tot_mub_per_cell=0.0 volume_a3_per_atom=15.6 ef_ev_per_atom=0.078 sg="Immm (71)" pbc="T T T"
Pt 0.000 0.000 0.000
Pt 0.000 2.388 2.433
Pt 0.000 2.388 7.110
Pt 1.370 0.000 2.339
Pt 1.370 0.000 7.204
Pt 1.370 2.388 4.772
Au 0.000 0.000 4.772
Au 1.370 2.388 0.000

---

16
Lattice="5.412 0.000 0.000 0.000 5.412 0.000 0.000 0.000 13.191" Properties=species:S:1:pos:R:3 comment="PBEsol SrNF2, relaxed" dft_energy_ev_per_atom=-4.8947 m_tot_mub_per_cell=12.0 volume_a3_per_atom=24.1 sg="I-42d (122)" formation_energy_uncorrected_mev_per_atom=-1339 pbc="T T T"
Sr 0.000 0.000 0.000
Sr 0.000 2.706 3.298
Sr 2.706 0.000 9.893
Sr 2.706 2.706 6.595
N 0.000 0.000 6.595
N 0.000 2.706 9.893
N 2.706 0.000 3.298
N 2.706 2.706 0.000
F 0.852 1.353 1.649
F 1.353 3.558 4.947
F 1.353 4.559 11.542
F 1.854 1.353 8.244
F 3.558 4.059 8.244
F 4.059 0.852 11.542
F 4.059 1.854 4.947
F 4.559 4.059 1.649

---

5
Lattice="4.581 0.000 0.000 0.000 4.581 0.000 0.000 0.000 4.581" Properties=species:S:1:pos:R:3 comment="PBEsol ScRh3Se, relaxed" dft_energy_ev_per_atom=-5.9239 m_tot_mub_per_cell=1.1 volume_a3_per_atom=19.2 sg="Pm-3m (221)" formation_energy_uncorrected_mev_per_atom=1050 pbc="T T T"
Sc 0.000 0.000 0.000
Rh 0.000 0.000 2.290
Rh 0.000 2.290 0.000
Rh 2.290 0.000 0.000
Se 2.290 2.290 2.290